Arrangement 1

Hg2HAu2 | PBE-GGA | relaxed

Results
- space group = P4/mbm (127)

abc: 5.8239 5.8239 5.3150
angles: 90.00 90.00 90.00
Element x y z (fractional)
Hg1 0.8196 0.6804 0.0000
Au1 0.3295 0.1705 0.5000
Au2 0.6705 0.8295 0.5000
Au3 0.8295 0.3295 0.5000
Au4 0.1705 0.6705 0.5000
Hg2 0.1804 0.3196 0.0000
H1 0.0000 0.0000 0.0000
H2 0.5000 0.5000 0.0000
Hg3 0.6804 0.1804 0.0000
Hg4 0.3196 0.8196 0.0000

Arrangement 2

Hg2HAu2 | PBE-GGA | relaxed

Results
- space group = P4/mbm (127)

abc: 5.6309 5.6309 5.8005
angles: 90.00 90.00 90.00
Element x y z (fractional)
Hg1 0.6878 0.8122 0.5000
Au1 0.3123 0.8123 0.0000
Hg2 0.3122 0.1878 0.5000
Au2 0.1877 0.3123 0.0000
H1 0.5000 0.5000 0.0000
Au3 0.8123 0.6877 0.0000
Hg3 0.1878 0.6878 0.5000
Au4 0.6877 0.1877 0.0000
Hg4 0.8122 0.3122 0.5000
H2 0.0000 0.0000 0.0000

Name the most stable of them. arrangement 2.

Arrangement 1

Li2HgHAu | PBE-GGA | relaxed

Results
- space group = P4/mmm (123)

abc: 4.3274 4.3274 3.7977
angles: 90.00 90.00 90.00
Element x y z (fractional)
Li1 0.5000 0.0000 0.0000
Li2 0.0000 0.5000 0.0000
Au1 0.0000 0.0000 0.5000
Hg1 0.5000 0.5000 0.5000
H1 0.0000 0.0000 0.0000

Arrangement 2

Li2HgHAu | PBE-GGA | relaxed

Results
- space group = P4/mmm (123)

abc: 4.1529 4.1529 4.1732
angles: 90.00 90.00 90.00
Element x y z (fractional)
Li1 0.5000 0.0000 0.0000
H1 0.0000 0.0000 0.0000
Li2 0.0000 0.5000 0.0000
Hg1 0.0000 0.0000 0.5000
Au1 0.5000 0.5000 0.5000

Name the most stable of them. arrangement 1.

Arrangement 1

SnHgMoHAu | PBE-GGA | relaxed

Results
- space group = Cm (8)

abc: 5.8607 3.2435 10.5404
angles: 90.00 121.85 90.00
Element x y z (fractional)
Au1 0.1688 0.5000 0.3940
Sn1 0.6843 0.5000 0.6837
Hg1 0.1443 0.0000 0.6216
Mo1 0.6758 0.0000 0.9054
Hg2 0.1443 0.5000 0.1216
Au2 0.1688 0.0000 0.8940
Mo2 0.6758 0.5000 0.4054
H1 0.5579 0.5000 0.9311
Sn2 0.6843 0.0000 0.1837
H2 0.5579 0.0000 0.4311

Arrangement 2

SnHgMoHAu | PBE-GGA | relaxed

Results
- space group = Pm (6)

abc: 3.3770 3.9554 6.4261
angles: 90.00 97.24 90.00
Element x y z (fractional)
H1 0.9443 0.5000 0.5617
Au1 0.0533 0.5000 0.9828
Hg1 0.4965 0.0000 0.7657
Sn1 0.8755 0.0000 0.2679
Mo1 0.4131 0.5000 0.4364

Arrangement 3

SnHgMoHAu | PBE-GGA | relaxed

Results
- space group = Cm (8)

abc: 5.2631 3.1523 10.5656
angles: 90.00 110.79 90.00
Element x y z (fractional)
Sn1 0.3406 0.0000 0.6285
Sn2 0.3406 0.5000 0.1285
H1 0.3596 0.0000 0.9382
Mo1 0.4312 0.0000 0.3712
H2 0.3596 0.5000 0.4382
Hg1 0.9013 0.0000 0.8326
Mo2 0.4312 0.5000 0.8712
Au1 0.8443 0.5000 0.5883
Au2 0.8443 0.0000 0.0883
Hg2 0.9013 0.5000 0.3326

Arrangement 4

SnHgMoHAu | PBE-GGA | relaxed

Results
- space group = Pmm2 (25)

abc: 4.4000 3.1682 5.9395
angles: 90.00 90.00 90.00
Element x y z (fractional)
Au1 0.0000 0.0000 0.0256
Mo1 0.0000 0.5000 0.5815
Sn1 0.5000 0.0000 0.7227
H1 0.0000 0.0000 0.4192
Hg1 0.5000 0.5000 0.2366

Name the most stable of them. arrangement 1.